[1]
VASP calculation (GGA-PBE) on LiAg3IrSe4 after structural relaxation.

* space group: P-43m, No. 215
* calculated density: 5.9 Mg/m³
* total moment: 0.0 μB per formula unit
* raw total energy: -3.703 eV per atom

Lattice parameters (Å, degrees): 6.195 6.195 6.195 90.00 90.00 90.00
Fractional positions:
Li1 0.500 0.500 0.500
Se1 0.767 0.767 0.767
Se2 0.767 0.233 0.233
Se3 0.233 0.233 0.767
Se4 0.233 0.767 0.233
Ir1 0.000 0.000 0.000
Ag1 0.500 0.000 0.000
Ag2 0.000 0.500 0.000
Ag3 0.000 0.000 0.500

---

[2]
VASP calculation (GGA-PBE) on LiAgTe2IrSe after structural relaxation.

* space group: Cmcm, No. 63
* calculated density: 8.0 Mg/m³
* total moment: 0.0 μB per formula unit
* raw total energy: -4.075 eV per atom

Lattice parameters (Å, degrees): 6.788 6.788 10.319 90.00 90.00 145.95
Fractional positions:
Se1 0.433 0.567 0.250
Se2 0.567 0.433 0.750
Ag1 0.078 0.922 0.250
Ag2 0.922 0.078 0.750
Li1 0.245 0.755 0.750
Li2 0.755 0.245 0.250
Te1 0.141 0.859 0.497
Te2 0.141 0.859 0.003
Te3 0.859 0.141 0.997
Te4 0.859 0.141 0.503
Ir1 0.500 0.500 0.000
Ir2 0.500 0.500 0.500

---

Which value of raw total energy does entry 2 give?
-4.075 eV per atom